DFT (PBE-GGA) results for crystalline CaSc2As at its relaxed geometry.

Properties
Fermi-level density of states in states/eV/f.u.: 3.8
Size of the total moment in μB per formula unit: 0.0
Calculated volume in Å³ per cell: 95
E_form in eV/atom: -0.2116

Cell: 6.1291 5.5606 3.2433 Å, 88.12 75.54 116.42°
Fractional positions:
Sc  0.0000  0.0000  0.0000
Sc  0.0000  0.5000  0.5000
As  0.5000  0.5000  0.0000
Ca  0.5000  0.0000  0.5000